Computed, not measured: a relaxed structure of Tb5Si2Sb2 at the GGA-PBEsol level of DFT.

Geometry as POSCAR:
```
Tb5Si2Sb2
1.0
-4.485 2.837 -5.649
-3.838 -3.924 6.394
-0.540 6.752 3.820
Tb Sb Si
10 4 4
Direct
0.044 0.744 0.328
0.200 0.744 0.828
0.500 0.000 0.500
0.456 0.256 0.828
0.800 0.256 0.172
0.000 0.000 0.000
0.300 0.256 0.328
0.544 0.744 0.172
0.700 0.744 0.672
0.956 0.256 0.672
0.293 0.586 0.500
0.793 0.586 0.000
0.707 0.414 0.500
0.207 0.414 0.000
0.622 0.000 0.878
0.378 0.000 0.122
0.878 0.000 0.378
0.122 0.000 0.622
```

Results
Total magnetic moment   0.00 Bohr magnetons per cell
DFT total energy   -6.039 eV per atom